Entry 1:
! Ac6IrPd (GGA-PBE, relaxed); values from VASP
&SYSTEM
  ibrav = 0, nat = 8, ntyp = 3
/
ATOMIC_SPECIES
Ac 227.00 Ac.upf
Ir 192.22 Ir.upf
Pd 106.42 Pd.upf
CELL_PARAMETERS angstrom
6.533 0.007 3.401
2.365 6.078 3.421
-0.115 -0.101 8.189
ATOMIC_POSITIONS crystal
Ac 0.088 0.421 0.746
Ac 0.912 0.579 0.254
Ac 0.256 0.912 0.254
Ir 0.500 0.500 0.500
Ac 0.579 0.256 0.254
Ac 0.421 0.744 0.746
Ac 0.744 0.088 0.746
Pd 0.000 0.000 0.000
! symmetry = R-3, No. 148
! DFT formation energy = -380 meV per atom



Entry 2:
! SrLaZr (GGA-PBE, relaxed); values from VASP
&SYSTEM
  ibrav = 0, nat = 3, ntyp = 3
/
ATOMIC_SPECIES
Sr 87.62 Sr.upf
Zr 91.22 Zr.upf
La 138.91 La.upf
CELL_PARAMETERS angstrom
-2.084 1.484 -2.545
-1.464 -1.130 3.098
1.398 8.260 3.674
ATOMIC_POSITIONS crystal
Sr 0.667 0.333 0.356
Zr 0.333 0.667 0.679
La 0.000 0.000 0.965
! symmetry = P3m1, No. 156
! DFT formation energy = 341 meV per atom
! energy above the most stable polymorph in this dataset = 42.3 meV/atom



Entry 3:
! Ho5Tm2Sc4 (GGA-PBE, relaxed); values from VASP
&SYSTEM
  ibrav = 0, nat = 11, ntyp = 3
/
ATOMIC_SPECIES
Ho 164.93 Ho.upf
Sc 44.96 Sc.upf
Tm 168.93 Tm.upf
CELL_PARAMETERS angstrom
6.603 0.000 0.000
3.301 5.812 -0.509
3.301 0.418 8.291
ATOMIC_POSITIONS crystal
Ho 0.000 0.500 0.500
Sc 0.704 0.071 0.520
Ho 0.223 0.849 0.167
Ho 0.777 0.151 0.833
Sc 0.296 0.929 0.480
Ho 0.238 0.151 0.833
Sc 0.273 0.317 0.136
Tm 0.702 0.383 0.212
Ho 0.762 0.849 0.167
Sc 0.727 0.683 0.864
Tm 0.298 0.617 0.788
! symmetry = C2/m, No. 12
! DFT formation energy = 196 meV per atom
! energy above the most stable polymorph in this dataset = 94.6 meV/atom



Entry 4:
! Ti2H3S6 (GGA-PBE, relaxed); values from VASP
&SYSTEM
  ibrav = 0, nat = 22, ntyp = 3
/
ATOMIC_SPECIES
S 32.06 S.upf
H 1.01 H.upf
Ti 47.87 Ti.upf
CELL_PARAMETERS angstrom
-0.821 6.026 -0.140
-5.413 2.377 1.884
-0.955 3.235 12.689
ATOMIC_POSITIONS crystal
S 0.853 0.110 0.385
S 0.495 0.761 0.376
H 0.523 0.700 0.792
S 0.987 0.055 0.115
H 0.015 0.800 0.708
S 0.367 0.261 0.876
Ti 0.827 0.369 0.501
H 0.985 0.200 0.292
S 0.652 0.610 0.885
H 0.546 0.750 0.250
S 0.348 0.390 0.115
Ti 0.173 0.631 0.499
H 0.477 0.300 0.208
S 0.505 0.239 0.624
S 0.013 0.945 0.885
H 0.454 0.250 0.750
Ti 0.304 0.869 0.001
S 0.156 0.445 0.385
S 0.633 0.739 0.124
S 0.844 0.555 0.615
S 0.147 0.890 0.615
Ti 0.696 0.131 0.999
! symmetry = C2/c, No. 15
! energy = -5.2107 eV/atom



Entry 5:
! BaZnSe2 (GGA-PBE, relaxed); values from VASP
&SYSTEM
  ibrav = 0, nat = 4, ntyp = 3
/
ATOMIC_SPECIES
Zn 65.41 Zn.upf
Se 78.96 Se.upf
Ba 137.33 Ba.upf
CELL_PARAMETERS angstrom
4.186 0.000 0.000
0.000 4.186 0.000
0.000 0.000 6.309
ATOMIC_POSITIONS crystal
Zn 0.500 0.500 0.250
Se 0.000 0.000 0.001
Se 0.000 0.000 0.499
Ba 0.500 0.500 0.750
! symmetry = P4/mmm, No. 123
! ΔE_f (raw) = -0.663 eV/atom



Entry 6:
! TlFeBr5 (GGA-PBE, relaxed); values from VASP
&SYSTEM
  ibrav = 0, nat = 14, ntyp = 3
/
ATOMIC_SPECIES
Br 79.90 Br.upf
Tl 204.38 Tl.upf
Fe 55.84 Fe.upf
CELL_PARAMETERS angstrom
-6.335 4.056 -2.428
-3.396 -7.249 1.281
2.784 3.038 9.083
ATOMIC_POSITIONS crystal
Br 0.668 0.613 0.893
Br 0.615 0.118 0.844
Tl 0.999 0.002 0.000
Br 0.337 0.716 0.472
Fe 0.547 0.326 0.720
Br 0.331 0.389 0.106
Fe 0.451 0.676 0.279
Tl 0.999 0.501 0.499
Br 0.145 0.698 0.779
Br 0.383 0.884 0.155
Br 0.213 0.238 0.593
Br 0.785 0.765 0.405
Br 0.661 0.287 0.526
Br 0.853 0.304 0.220
! symmetry = P1, No. 1
! ΔE_f (raw) = -0.515 eV/atom



Entry 7:
! La6SiBi2Te3 (GGA-PBE, relaxed); values from VASP
&SYSTEM
  ibrav = 0, nat = 12, ntyp = 4
/
ATOMIC_SPECIES
Si 28.09 Si.upf
La 138.91 La.upf
Te 127.60 Te.upf
Bi 208.98 Bi.upf
CELL_PARAMETERS angstrom
4.588 0.000 0.000
0.000 9.235 0.351
-2.294 -2.637 9.679
ATOMIC_POSITIONS crystal
Si 0.500 0.000 0.000
La 0.334 0.417 0.669
La 0.344 0.922 0.688
Te 0.830 0.165 0.660
La 0.999 0.226 0.998
Te 0.500 0.500 0.000
Te 0.170 0.835 0.340
Bi 0.833 0.666 0.667
Bi 0.167 0.334 0.333
La 0.001 0.774 0.002
La 0.656 0.078 0.312
La 0.666 0.583 0.331
! symmetry = C2/m, No. 12
! ΔE_f (raw) = -1.297 eV/atom



Entry 8:
! LaPrNd2Tm2 (GGA-PBE, relaxed); values from VASP
&SYSTEM
  ibrav = 0, nat = 12, ntyp = 4
/
ATOMIC_SPECIES
Tm 168.93 Tm.upf
La 138.91 La.upf
Pr 140.91 Pr.upf
Nd 144.24 Nd.upf
CELL_PARAMETERS angstrom
-1.803 5.438 0.625
-4.992 -0.665 -8.612
-5.737 -2.304 3.503
ATOMIC_POSITIONS crystal
Tm 0.000 0.333 0.750
La 0.000 0.000 0.000
Pr 0.500 0.500 0.000
Nd 0.000 0.667 0.751
Tm 0.500 0.833 0.750
Nd 0.500 0.833 0.251
Nd 0.000 0.333 0.249
Pr 0.000 0.000 0.500
Tm 0.000 0.667 0.250
Nd 0.500 0.167 0.749
Tm 0.500 0.167 0.250
La 0.500 0.500 0.500
! symmetry = Pnnm, No. 58
! DFT formation energy = 67 meV per atom



Entry 9:
! HfNpNb2 (GGA-PBE, relaxed); values from VASP
&SYSTEM
  ibrav = 0, nat = 4, ntyp = 3
/
ATOMIC_SPECIES
Nb 92.91 Nb.upf
Np 237.00 Np.upf
Hf 178.49 Hf.upf
CELL_PARAMETERS angstrom
-0.913 -3.248 -0.411
2.972 -1.001 1.309
-2.776 -0.017 6.291
ATOMIC_POSITIONS crystal
Nb 0.000 0.000 0.228
Np 0.500 0.500 0.000
Nb 0.000 0.000 0.772
Hf 0.500 0.500 0.500
! symmetry = P4/mmm, No. 123
! DFT formation energy = 239 meV per atom



Entry 10:
! Ce4Sb3 (GGA-PBE, relaxed); values from VASP
&SYSTEM
  ibrav = 0, nat = 14, ntyp = 2
/
ATOMIC_SPECIES
Ce 140.12 Ce.upf
Sb 121.76 Sb.upf
CELL_PARAMETERS angstrom
6.402 0.000 0.000
-2.134 8.659 0.000
-2.134 -4.329 7.499
ATOMIC_POSITIONS crystal
Ce 0.524 0.550 0.774
Sb 0.250 0.197 0.804
Sb 0.947 0.393 0.197
Sb 0.446 0.196 0.393
Ce 0.975 0.225 0.450
Sb 0.750 0.803 0.196
Ce 0.025 0.775 0.550
Ce 0.000 0.000 0.000
Ce 0.476 0.450 0.226
Ce 0.500 0.000 0.000
Sb 0.554 0.804 0.607
Ce 0.750 0.226 0.775
Ce 0.250 0.774 0.225
Sb 0.053 0.607 0.803
! symmetry = R-3, No. 148
! ΔE_f (raw) = -0.864 eV/atom
! energy above the most stable polymorph in this dataset = 52.0 meV/atom



Entry 11:
! Al5Cl (GGA-PBE, relaxed); values from VASP
&SYSTEM
  ibrav = 0, nat = 6, ntyp = 2
/
ATOMIC_SPECIES
Al 26.98 Al.upf
Cl 35.45 Cl.upf
CELL_PARAMETERS angstrom
5.464 -2.101 1.664
5.937 -0.865 -1.017
4.304 4.848 2.995
ATOMIC_POSITIONS crystal
Al 0.031 0.031 0.070
Al 0.632 0.632 0.683
Cl 0.337 0.337 0.862
Al 0.313 0.313 0.332
Al 0.906 0.906 0.569
Al 0.614 0.614 0.316
! symmetry = Cm, No. 8
! ΔE_f (raw) = -0.032 eV/atom
! energy above the most stable polymorph in this dataset = 0.0 meV/atom



Entry 12:
! Tb2Pr7Cd2 (GGA-PBE, relaxed); values from VASP
&SYSTEM
  ibrav = 0, nat = 11, ntyp = 3
/
ATOMIC_SPECIES
Pr 140.91 Pr.upf
Cd 112.41 Cd.upf
Tb 158.93 Tb.upf
CELL_PARAMETERS angstrom
8.174 0.942 1.359
0.135 6.703 0.966
0.135 -1.449 6.615
ATOMIC_POSITIONS crystal
Pr 0.522 0.316 0.316
Pr 0.824 0.892 0.475
Cd 0.865 0.395 0.395
Pr 0.478 0.684 0.684
Tb 0.500 0.177 0.823
Tb 0.500 0.823 0.177
Pr 0.824 0.475 0.892
Pr 0.176 0.108 0.525
Pr 0.000 0.000 0.000
Pr 0.176 0.525 0.108
Cd 0.135 0.605 0.605
! symmetry = C2/m, No. 12
! DFT formation energy = 35 meV per atom



What did the twelfth record say?
! Tb2Pr7Cd2 (GGA-PBE, relaxed); values from VASP
&SYSTEM
  ibrav = 0, nat = 11, ntyp = 3
/
ATOMIC_SPECIES
Pr 140.91 Pr.upf
Cd 112.41 Cd.upf
Tb 158.93 Tb.upf
CELL_PARAMETERS angstrom
8.174 0.942 1.359
0.135 6.703 0.966
0.135 -1.449 6.615
ATOMIC_POSITIONS crystal
Pr 0.522 0.316 0.316
Pr 0.824 0.892 0.475
Cd 0.865 0.395 0.395
Pr 0.478 0.684 0.684
Tb 0.500 0.177 0.823
Tb 0.500 0.823 0.177
Pr 0.824 0.475 0.892
Pr 0.176 0.108 0.525
Pr 0.000 0.000 0.000
Pr 0.176 0.525 0.108
Cd 0.135 0.605 0.605
! symmetry = C2/m, No. 12
! DFT formation energy = 35 meV per atom